VASP calculation (PBE-GGA) on a relaxed Cu5W crystal.

The calculation puts the formation energy at 132 meV per atom. The value obtained for the energy relative to the lowest polymorph listed for this composition is 0.00 eV per formula unit. Its density is 10.95 g/cm3.

abc: 2.6025 2.6025 11.2346
angles: 90.00 90.00 90.00
Last column: nearest neighbours and their distance in Å.
Fractional coordinates of all 6 atoms:
Cu: 0.0000 0.0000 0.0000  12 Cu 2.56-2.60
Cu: 0.0000 0.0000 0.3185  8 Cu 2.57-2.60, 4 W 2.75
Cu: 0.0000 0.0000 0.6815  8 Cu 2.57-2.60, 4 W 2.75
Cu: 0.5000 0.5000 0.1583  12 Cu 2.56-2.60
Cu: 0.5000 0.5000 0.8417  12 Cu 2.56-2.60
W: 0.5000 0.5000 0.5000  4 W 2.60, 8 Cu 2.75